This record from the Alexandria database describes V4Cd3P6O24 after structural relaxation. The functional is GGA-PBEsol.

Structure (POSCAR):
```
V4Cd3P6O24
1.0
6.4239 0.0000 0.0000
2.4654 8.2771 0.0000
2.6416 -0.6807 8.4045
V Cd P O
4 3 6 24
direct
0.1230 0.4384 0.1079
0.3760 0.8881 0.5632
0.6240 0.1119 0.4368
0.8770 0.5616 0.8921
0.2471 0.7502 0.2485
0.5000 0.0000 0.0000
0.7529 0.2498 0.7515
0.1306 0.1468 0.3535
0.2519 0.2174 0.7760
0.3784 0.6523 0.8564
0.6216 0.3477 0.1436
0.7481 0.7826 0.2240
0.8694 0.8532 0.6465
0.0370 0.3478 0.7602
0.1029 0.8474 0.5251
0.1195 0.3120 0.2887
0.1843 0.5645 0.9108
0.2061 0.0151 0.2173
0.2350 0.0464 0.7525
0.2720 0.2410 0.9446
0.3103 0.0999 0.4484
0.3306 0.7905 0.9788
0.3868 0.7088 0.6903
0.3939 0.4807 0.1538
0.4693 0.2395 0.6505
0.5307 0.7605 0.3495
0.6061 0.5193 0.8462
0.6132 0.2912 0.3097
0.6694 0.2095 0.0212
0.6897 0.9001 0.5516
0.7280 0.7590 0.0554
0.7650 0.9536 0.2475
0.7939 0.9849 0.7827
0.8157 0.4355 0.0892
0.8805 0.6880 0.7113
0.8971 0.1526 0.4749
0.9630 0.6522 0.2398
```

Summary:
- SG = P-1
- ΔE_f (raw) (eV per formula unit) = -77.8
- E (eV per atom) = -7.59
- density of states at the Fermi level (states/eV per cell) = 13.96


This record from the Alexandria database describes Ba3AsO after structural relaxation. The functional is GGA-PBEsol.

Structure (POSCAR):
```
Ba3AsO
1.0
5.2787 0.0000 0.0000
0.0000 5.2787 0.0000
0.0000 0.0000 5.2787
Ba As O
3 1 1
direct
0.0000 0.0000 0.5000
0.0000 0.5000 0.0000
0.5000 0.0000 0.0000
0.5000 0.5000 0.5000
0.0000 0.0000 0.0000
```

Summary:
- SG = Pm-3m
- ΔE_f (raw) (eV per formula unit) = -7.3
- E (eV per atom) = -4.81
- density of states at the Fermi level (states/eV per cell) = 2.34


| no. | V (Å³ per atom) | total magnetic moment (μB per atom) | density (g cm⁻³) |
| --- | --- | --- | --- |
| 1 | 12.078 | 0.2162 | 4.13 |
| 2 | 29.418 | 0.0000 | 5.68 |